A plane-wave DFT calculation with PBE was carried out for InPW2 after structural relaxation.

Cell lengths 3.0092, 4.1257, 10.8843 Å; angles 90.00, 90.00, 90.00 degrees
Element x y z (fractional)
In (0.0000, 0.0000, 0.0000)
In (0.5000, 0.5000, 0.5000)
P (0.0000, 0.5000, 0.2620)
P (0.5000, 0.0000, 0.7620)
W (0.0000, 0.0000, 0.5895)
W (0.0000, 0.5000, 0.8190)
W (0.5000, 0.0000, 0.3190)
W (0.5000, 0.5000, 0.0895)

Calculated formation energy in eV/atom: 0.40
Volume in Å³/cell: 135
Relative energy among the computed polymorphs in meV per atom: 313
SG: Imm2 (44)